Density functional theory data (PBE) for a relaxed structure of RbIrSe2O.

Lattice parameters (Å, degrees): 5.8982 5.8982 3.6038 90.00 90.00 90.00
With the nearest neighbours (Å) after each atom.
Fractional coordinates of all 5 atoms:
Rb  0.0000  0.0000  0.0000  8 Se 3.46, 2 Rb 3.60
Ir  0.5000  0.5000  0.0000  2 O 1.80
Se  0.0000  0.5000  0.5000  2 O 2.95
Se  0.5000  0.0000  0.5000  2 O 2.95
O  0.5000  0.5000  0.5000  2 Ir 1.80

Output
For the uncorrected formation energy, the calculation gives 0.2526 eV/atom. Its crystal system is tetragonal. The calculation puts the density of states at the Fermi level at 6.3 states/eV/cell. The value obtained for the volume is 25.07 Å³ per atom. As for the space-group type: P4/mmm, No. 123. The calculation puts the calculated total energy at -4.10 eV/atom.

Density functional theory data (PBE) for a relaxed structure of Mg3Zn2BIr3.

Lattice parameters (Å, degrees): 6.9616 6.9616 3.0059 90.00 90.00 120.00
With the nearest neighbours (Å) after each atom.
Fractional coordinates of all 9 atoms:
Mg  0.0000  0.6188  0.0000  4 Zn 2.64, 1 B 2.65, 4 Ir 2.77
Mg  0.3812  0.3812  0.0000  4 Zn 2.64, 1 B 2.65, 4 Ir 2.77
Mg  0.6188  0.0000  0.0000  4 Zn 2.64, 1 B 2.65, 4 Ir 2.77
Zn  0.3333  0.6667  0.5000  6 Mg 2.64, 3 Ir 2.69
Zn  0.6667  0.3333  0.5000  6 Mg 2.64, 3 Ir 2.69
B  0.0000  0.0000  0.0000  6 Ir 2.27
Ir  0.0000  0.2434  0.5000  2 B 2.27
Ir  0.2434  0.0000  0.5000  2 B 2.27
Ir  0.7566  0.7566  0.5000  2 B 2.27

Output
As for the energy of formation: -0.40 eV per atom. Its crystal system is hexagonal. The calculation puts the density of states at the Fermi level at 1.8 states/eV/cell. The value obtained for the volume is 14.02 Å³ per atom. As for the space-group type: P-62m, No. 189. The calculation puts the calculated total energy at -4.91 eV/atom.

Density functional theory data (PBE) for a relaxed structure of AcEuInGe.

Lattice parameters (Å, degrees): 7.8635 7.8635 7.8635 90.00 90.00 90.00
With the nearest neighbours (Å) after each atom.
Fractional coordinates of all 16 atoms:
Ac  0.0000  0.0000  0.0000  4 Ge 3.40, 4 In 3.40
Ac  0.0000  0.5000  0.5000  4 Ge 3.40, 4 In 3.40
Ac  0.5000  0.0000  0.5000  4 Ge 3.40, 4 In 3.40
Ac  0.5000  0.5000  0.0000  4 Ge 3.40, 4 In 3.40
Eu  0.0000  0.0000  0.5000  4 Ge 3.40, 4 In 3.40
Eu  0.0000  0.5000  0.0000  4 Ge 3.40, 4 In 3.40
Eu  0.5000  0.0000  0.0000  4 Ge 3.40, 4 In 3.40
Eu  0.5000  0.5000  0.5000  4 Ge 3.40, 4 In 3.40
In  0.2500  0.2500  0.2500  4 Eu 3.40, 4 Ac 3.40
In  0.2500  0.7500  0.7500  4 Ac 3.40, 4 Eu 3.40
In  0.7500  0.2500  0.7500  4 Ac 3.40, 4 Eu 3.40
In  0.7500  0.7500  0.2500  4 Eu 3.40, 4 Ac 3.40
Ge  0.2500  0.2500  0.7500  4 Ac 3.40, 4 Eu 3.40
Ge  0.2500  0.7500  0.2500  4 Ac 3.40, 4 Eu 3.40
Ge  0.7500  0.2500  0.2500  4 Ac 3.40, 4 Eu 3.40
Ge  0.7500  0.7500  0.7500  4 Ac 3.40, 4 Eu 3.40

Output
As for the energy of formation: -0.46 eV per atom. Its crystal system is cubic. The calculation puts the density of states at the Fermi level at 24.6 states/eV/cell. The value obtained for the volume is 30.39 Å³ per atom. As for the space-group type: F-43m, No. 216. The calculation puts the calculated total energy at -5.89 eV/atom.

Density functional theory data (PBE) for a relaxed structure of PmCuBiSb.

Lattice parameters (Å, degrees): 7.4630 7.4630 7.4630 90.00 90.00 90.00
With the nearest neighbours (Å) after each atom.
Fractional coordinates of all 16 atoms:
Pm  0.0000  0.0000  0.0000  4 Cu 3.23, 4 Sb 3.23
Pm  0.0000  0.5000  0.5000  4 Cu 3.23, 4 Sb 3.23
Pm  0.5000  0.0000  0.5000  4 Cu 3.23, 4 Sb 3.23
Pm  0.5000  0.5000  0.0000  4 Cu 3.23, 4 Sb 3.23
Cu  0.2500  0.2500  0.2500  4 Bi 3.23, 4 Pm 3.23
Cu  0.2500  0.7500  0.7500  4 Bi 3.23, 4 Pm 3.23
Cu  0.7500  0.2500  0.7500  4 Bi 3.23, 4 Pm 3.23
Cu  0.7500  0.7500  0.2500  4 Bi 3.23, 4 Pm 3.23
Bi  0.0000  0.0000  0.5000  4 Sb 3.23, 4 Cu 3.23
Bi  0.0000  0.5000  0.0000  4 Sb 3.23, 4 Cu 3.23
Bi  0.5000  0.0000  0.0000  4 Sb 3.23, 4 Cu 3.23
Bi  0.5000  0.5000  0.5000  4 Sb 3.23, 4 Cu 3.23
Sb  0.2500  0.2500  0.7500  4 Bi 3.23, 4 Pm 3.23
Sb  0.2500  0.7500  0.2500  4 Bi 3.23, 4 Pm 3.23
Sb  0.7500  0.2500  0.2500  4 Bi 3.23, 4 Pm 3.23
Sb  0.7500  0.7500  0.7500  4 Bi 3.23, 4 Pm 3.23

Output
For the uncorrected formation energy, the calculation gives -0.1368 eV/atom. Its crystal system is cubic. The calculation puts the density of states at the Fermi level at 13.4 states/eV/cell. The value obtained for the volume is 25.98 Å³ per atom. As for the space-group type: F-43m, No. 216. The calculation puts the calculated total energy at -4.35 eV/atom.

Density functional theory data (PBE) for a relaxed structure of Sm2ErAg.

Lattice parameters (Å, degrees): 4.6091 11.7439 8.7152 90.00 90.00 90.00
With the nearest neighbours (Å) after each atom.
Fractional coordinates of all 16 atoms:
Sm  0.0000  0.1390  0.0437  3 Ag 3.00-3.11, 1 Sm 3.35
Sm  0.0000  0.1390  0.4563  3 Ag 3.00-3.11, 1 Sm 3.35
Sm  0.0000  0.8610  0.5437  3 Ag 3.00-3.11, 1 Sm 3.35
Sm  0.0000  0.8610  0.9563  3 Ag 3.00-3.11, 1 Sm 3.35
Sm  0.5000  0.3610  0.5437  3 Ag 3.00-3.11, 1 Sm 3.35
Sm  0.5000  0.3610  0.9563  3 Ag 3.00-3.11, 1 Sm 3.35
Sm  0.5000  0.6390  0.0437  3 Ag 3.00-3.11, 1 Sm 3.35
Sm  0.5000  0.6390  0.4563  3 Ag 3.00-3.11, 1 Sm 3.35
Er  0.0000  0.4496  0.2500  3 Ag 3.27-3.47, 4 Sm 3.60
Er  0.0000  0.5504  0.7500  3 Ag 3.27-3.47, 4 Sm 3.60
Er  0.5000  0.0504  0.7500  3 Ag 3.27-3.47, 4 Sm 3.60
Er  0.5000  0.9496  0.2500  3 Ag 3.27-3.47, 4 Sm 3.60
Ag  0.0000  0.2717  0.7500  6 Sm 3.00-3.11, 1 Er 3.27
Ag  0.0000  0.7283  0.2500  6 Sm 3.00-3.11, 1 Er 3.27
Ag  0.5000  0.2283  0.2500  6 Sm 3.00-3.11, 1 Er 3.27
Ag  0.5000  0.7717  0.7500  6 Sm 3.00-3.11, 1 Er 3.27

Output
As for the energy of formation: -0.05 eV per atom. Its crystal system is orthorhombic. The calculation puts the density of states at the Fermi level at 17.5 states/eV/cell. The value obtained for the volume is 29.48 Å³ per atom. As for the space-group type: Cmcm, No. 63. The calculation puts the calculated total energy at -4.26 eV/atom.

Density functional theory data (PBE) for a relaxed structure of Mg3MnAg.

Lattice parameters (Å, degrees): 5.0511 5.0511 5.0511 90.00 90.00 90.00
With the nearest neighbours (Å) after each atom.
Fractional coordinates of all 5 atoms:
Mg  0.0000  0.0000  0.5000  2 Ag 2.53
Mg  0.0000  0.5000  0.0000  2 Ag 2.53
Mg  0.5000  0.0000  0.0000  2 Ag 2.53
Mn  0.5000  0.5000  0.5000  12 Mg 3.57
Ag  0.0000  0.0000  0.0000  6 Mg 2.53

Output
As for the energy of formation: 0.53 eV per atom. Its crystal system is cubic. The calculation puts the density of states at the Fermi level at 4.1 states/eV/cell. The value obtained for the volume is 25.77 Å³ per atom. As for the space-group type: Pm-3m, No. 221. The calculation puts the calculated total energy at -2.83 eV/atom.

Q: Which value of volume does entry 1 give?
A: 25.07 Å³ per atom